Mn2Fe after structural relaxation, computed with PBE-GGA.

Geometry as POSCAR:
```
Mn2Fe
1.0
2.432 0.000 0.000
0.000 3.888 0.000
0.000 -1.944 3.367
Fe Mn
1 2
direct
0.500 0.000 0.000 Fe
0.000 0.333 0.667 Mn
0.000 0.667 0.333 Mn
```

Properties
**ρ**: 8641 kg/m³
**N(E_F)**: 0.851 states/eV/atom
**Size of the total moment**: 0.0000 μB/atom
**E_form**: 0.30 eV/f.u.
**Electronic total energy**: -8.833 eV/atom